Entry from Alexandria: a relaxed SrCd2InO4 crystal (GGA-PBE).

Lattice parameters (Å, degrees): 6.2312 6.2312 6.2312 128.07 128.07 76.52
Closest atoms and distances in Å follow each position.
Fractional coordinates of all 8 atoms:
Sr1 0.0000 0.0000 0.0000  4 O 2.44
Cd1 0.2500 0.7500 0.5000  4 O 2.29
Cd2 0.7500 0.2500 0.5000  4 O 2.29
In1 0.5000 0.5000 0.0000  4 O 2.14
O1 0.1477 0.1477 0.5463  1 In 2.14, 2 Cd 2.29
O2 0.3986 0.8523 0.0000  1 In 2.14, 2 Cd 2.29
O3 0.6014 0.6014 0.4537  1 In 2.14, 2 Cd 2.29
O4 0.8523 0.3986 0.0000  1 In 2.14, 2 Cd 2.29

Summary:
Density of states at the Fermi level: 0.31 states/eV/cell
Crystal system: tetragonal
DFT total energy: -4.75 eV/atom
SG: No. 121
ΔE_f (raw): -1.489 eV per atom